1.
VASP calculation (PBE-GGA) on a relaxed structure of ScMnZn2.

The structure belongs to space group R3m (No. 160, hexagonal axes); the cell edges are 2.9913, 2.9913 and 26.1891 Å and the angles 90.00°, 90.00° and 120.00°. The asymmetric unit holds Sc at (0.0000, 0.0000, 0.0000), Mn at (0.0000, 0.0000, 0.2501), Zn at (0.0000, 0.0000, 0.5054) and Zn at (0.0000, 0.0000, 0.7571).

The formation energy from the elements comes out at 118.7 meV per atom. Its total energy is -52.7 eV per cell.

=====

2.
VASP calculation (PBE-GGA) on a relaxed structure of Zr2ScMn.

The structure belongs to space group C2/m (No. 12); the cell edges are 5.9220, 9.7565 and 3.0462 Å and the angles 90.00°, 109.01° and 90.00°. The asymmetric unit holds Zr at (0.2500, 0.2500, 0.0000), Sc at (0.0000, 0.0000, 0.5000) and Mn at (0.0000, 0.5000, 0.5000).

The excess energy over the best structure of this formula in the dataset is 236 meV/atom. The formation energy from the elements comes out at 230.7 meV per atom. Its total energy is -63.3 eV per cell.

=====

3.
VASP calculation (PBE-GGA) on a relaxed structure of Zr2ScMn.

The structure belongs to space group Fm-3m (No. 225); the cell edges are 6.7289, 6.7289 and 6.7289 Å and the angles 90.00°, 90.00° and 90.00°. The asymmetric unit holds Zr at (0.2500, 0.2500, 0.2500), Sc at (0.0000, 0.0000, 0.0000) and Mn at (0.0000, 0.0000, 0.5000).

The excess energy over the best structure of this formula in the dataset is 187 meV/atom. The formation energy from the elements comes out at 181.8 meV per atom. Its total energy is -127.5 eV per cell.

=====

4.
VASP calculation (PBE-GGA) on a relaxed structure of Zr4ScMn.

The structure belongs to space group F-43m (No. 216); the cell edges are 8.2275, 8.2275 and 8.2275 Å and the angles 90.00°, 90.00° and 90.00°. The asymmetric unit holds Zr at (0.1242, 0.1242, 0.3758), Sc at (0.2500, 0.2500, 0.7500) and Mn at (0.0000, 0.0000, 0.0000).

The formation energy from the elements comes out at 436.7 meV per atom. Its total energy is -188.3 eV per cell.

=====

5.
VASP calculation (PBE-GGA) on a relaxed structure of ZrScMn.

The structure belongs to space group P3m1 (No. 156); the cell edges are 3.1948, 3.1948 and 6.5778 Å and the angles 90.00°, 90.00° and 120.00°. The asymmetric unit holds Zr at (0.0000, 0.0000, 0.0000), Sc at (0.3333, 0.6667, 0.5687) and Mn at (0.6667, 0.3333, 0.2754).

The excess energy over the best structure of this formula in the dataset is 252 meV/atom. The formation energy from the elements comes out at 265.7 meV per atom. Its total energy is -23.3 eV per cell.

=====

6.
VASP calculation (PBE-GGA) on a relaxed structure of Zr2ScMn.

The structure belongs to space group Immm (No. 71); the cell edges are 3.3226, 5.0077 and 9.5889 Å and the angles 90.00°, 90.00° and 90.00°. The asymmetric unit holds Zr at (0.0000, 0.0000, 0.2040), Sc at (0.0000, 0.5000, 0.0000) and Mn at (0.0000, 0.5000, 0.5000).

The excess energy over the best structure of this formula in the dataset is 0 meV/atom. The formation energy from the elements comes out at -5.4 meV per atom. Its total energy is -65.2 eV per cell.

=====

7.
VASP calculation (PBE-GGA) on a relaxed structure of Zr2ScMn.

The structure belongs to space group P4/mmm (No. 123); the cell edges are 3.2229, 3.2229 and 7.7408 Å and the angles 90.00°, 90.00° and 90.00°. The asymmetric unit holds Zr at (0.0000, 0.0000, 0.1998), Sc at (0.5000, 0.5000, 0.5000) and Mn at (0.5000, 0.5000, 0.0000).

The excess energy over the best structure of this formula in the dataset is 56 meV/atom. The formation energy from the elements comes out at 50.4 meV per atom. Its total energy is -32.4 eV per cell.

=====

8.
VASP calculation (PBE-GGA) on a relaxed structure of Zr2ScMn.

The structure belongs to space group P4/mmm (No. 123); the cell edges are 4.3418, 4.3418 and 4.4298 Å and the angles 90.00°, 90.00° and 90.00°. The asymmetric unit holds Zr at (0.0000, 0.5000, 0.0000), Sc at (0.0000, 0.0000, 0.5000) and Mn at (0.5000, 0.5000, 0.5000).

The excess energy over the best structure of this formula in the dataset is 144 meV/atom. The formation energy from the elements comes out at 138.6 meV per atom. Its total energy is -32.0 eV per cell.

=====

> formation energy from the elements of number 1 (ScMnZn2)?

118.7 meV per atom